# 1
{
  "formula": "Nd3AlBrF2",
  "functional": "GGA-PBE",
  "state": "relaxed",
  "lattice": [[-1.679, -2.119, -5.114], [-2.065, -4.719, 2.633], [-4.811, 2.426, 0.575]],
  "species": ["Al", "Br", "F", "F", "Nd", "Nd", "Nd"],
  "frac_coords": [[0.000, 0.000, 0.500], [0.500, 0.500, 0.500], [0.500, 0.000, 0.000], [0.000, 0.500, 0.000], [0.000, 0.000, 0.000], [0.500, 0.000, 0.500], [0.000, 0.500, 0.500]],
  "spacegroup": "No. 123",
  "total_magnetization_mub_per_cell": 0.00
}

***

# 2
{
  "formula": "GdHoAl2Br2",
  "functional": "GGA-PBE",
  "state": "relaxed",
  "lattice": [[4.215, 0.000, 0.000], [-2.107, 3.650, 0.000], [0.000, 0.000, 11.225]],
  "species": ["Al", "Al", "Br", "Br", "Gd", "Ho"],
  "frac_coords": [[0.667, 0.333, 0.478], [0.333, 0.667, 0.518], [0.333, 0.667, 0.163], [0.667, 0.333, 0.840], [0.000, 0.000, 0.685], [0.000, 0.000, 0.315]],
  "spacegroup": "No. 156",
  "total_magnetization_mub_per_cell": 0.00
}

***

| no. | energy (eV per atom) |
| --- | --- |
| 1 | -5.019 |
| 2 | -4.401 |